# 1
DFT (PBE) results for a relaxed Pm4DyCd5 crystal. Values from VASP.

The structure in Quantum ESPRESSO input format:
```
&SYSTEM
  ibrav = 0, nat = 10, ntyp = 3
/
ATOMIC_SPECIES
Pm 145.00 Pm.upf
Dy 162.50 Dy.upf
Cd 112.41 Cd.upf
CELL_PARAMETERS angstrom
3.810 0.000 0.000
0.000 3.810 0.000
0.000 0.000 19.117
ATOMIC_POSITIONS angstrom
Pm 0.000 0.000 1.934
Pm 0.000 0.000 5.796
Pm 0.000 0.000 13.321
Pm 0.000 0.000 17.183
Dy 0.000 0.000 9.559
Cd 1.905 1.905 0.000
Cd 1.905 1.905 3.857
Cd 1.905 1.905 7.761
Cd 1.905 1.905 11.357
Cd 1.905 1.905 15.260
```

## Properties
Formation energy, eV per atom: -0.318


# 2
DFT (PBE) results for a relaxed BeNi crystal. Values from VASP.

The structure in Quantum ESPRESSO input format:
```
&SYSTEM
  ibrav = 0, nat = 4, ntyp = 2
/
ATOMIC_SPECIES
Be 9.01 Be.upf
Ni 58.69 Ni.upf
CELL_PARAMETERS angstrom
3.636 0.000 0.000
-1.818 3.149 0.000
0.000 0.000 4.182
ATOMIC_POSITIONS angstrom
Be 0.000 2.099 1.045
Be 1.818 1.050 3.136
Ni 0.000 2.099 3.136
Ni 1.818 1.050 1.045
```

## Properties
Formation energy, eV per atom: 0.402


# 3
DFT (PBE) results for a relaxed AgSbPbAu crystal. Values from VASP.

The structure in Quantum ESPRESSO input format:
```
&SYSTEM
  ibrav = 0, nat = 8, ntyp = 4
/
ATOMIC_SPECIES
Ag 107.87 Ag.upf
Sb 121.76 Sb.upf
Pb 207.20 Pb.upf
Au 196.97 Au.upf
CELL_PARAMETERS angstrom
7.675 0.000 0.000
0.000 4.476 0.000
-3.732 0.000 6.138
ATOMIC_POSITIONS angstrom
Ag 0.000 0.000 0.000
Ag 3.838 2.238 0.000
Sb 0.273 2.238 1.780
Sb 4.110 0.000 1.780
Pb -2.380 2.238 4.448
Pb 1.457 0.000 4.448
Au -1.053 0.000 2.847
Au 2.785 2.238 2.847
```

## Properties
Raw formation energy, eV per atom: 0.07


# 4
DFT (PBE) results for a relaxed Sm3BeI3 crystal. Values from VASP.

The structure in Quantum ESPRESSO input format:
```
&SYSTEM
  ibrav = 0, nat = 28, ntyp = 3
/
ATOMIC_SPECIES
Sm 150.36 Sm.upf
Be 9.01 Be.upf
I 126.90 I.upf
CELL_PARAMETERS angstrom
-6.119 6.119 6.119
6.119 -6.119 6.119
6.119 6.119 -6.119
ATOMIC_POSITIONS angstrom
Sm 1.763 1.530 -1.296
Sm 7.415 1.763 -1.530
Sm 1.530 -1.296 1.763
Sm 4.823 4.355 -1.530
Sm 4.355 1.530 1.296
Sm -1.296 1.763 1.530
Sm 4.355 -1.530 4.823
Sm 1.530 1.296 4.355
Sm 1.296 4.355 1.530
Sm 1.763 -1.530 7.415
Sm -1.530 7.415 1.763
Sm -1.530 4.823 4.355
Be 4.589 1.530 -1.530
Be 1.530 1.530 1.530
Be 1.530 -1.530 4.589
Be -1.530 4.589 1.530
I 7.649 1.419 1.641
I 7.649 -1.419 4.478
I 4.478 7.649 -1.419
I 4.700 1.641 4.589
I 4.589 4.700 1.641
I 1.641 7.649 1.419
I 7.538 4.478 4.589
I 1.641 4.589 4.700
I 1.419 1.641 7.649
I 4.589 7.538 4.478
I -1.419 4.478 7.649
I 4.478 4.589 7.538
```

## Properties
Raw formation energy, eV per atom: -0.81


no.,VASP energy (eV/atom)
1,-3.1357
2,-4.3517
3,-3.4231
4,-4.0317